The following is a PBE calculation of a relaxed Ho2ZnHPt6 crystal, from the Alexandria database.

Results
- V (Å³ per cell) = 337
- VASP energy (eV/f.u.) = -57.7
- DOS(E_F) (states/eV/f.u.) = 4.63

abc: 9.694 5.582 7.028
angles: 90.00 117.51 90.00
Space group C2/m (No. 12)
Inequivalent atoms, fractional coordinates:
Ho 0.213 0.000 0.141 [4 per cell]
Zn 0.000 0.500 0.000 [2 per cell]
H 0.000 0.000 0.500 [2 per cell]
Pt 0.019 0.251 0.308 [8 per cell]
Pt 0.232 0.000 0.691 [4 per cell]